Here is a relaxed structure of AlH3Ir from Alexandria. Energies are from PBE.

```
AlH3Ir
1.0
-3.4295 -0.6515 0.5672
0.7298 -3.4277 0.4755
0.4621 0.5781 3.4584
Ir H Al
1 3 1
Direct
0.0000 0.0000 0.0000 Ir
0.0000 0.0000 0.5000 H
0.0000 0.5000 0.0000 H
0.5000 0.0000 0.0000 H
0.5000 0.5000 0.5000 Al
```

***

Here is a relaxed structure of AlHIr2 from Alexandria. Energies are from PBE.

Values from the calculation:
The value obtained for the relative energy among the computed polymorphs is 316 meV/atom.

```
AlHIr2
1.0
0.0000 2.8917 2.8917
2.8917 0.0000 2.8917
2.8917 2.8917 0.0000
Ir H Al
2 1 1
Direct
0.2500 0.2500 0.2500 Ir
0.7500 0.7500 0.7500 Ir
0.0000 0.0000 0.0000 H
0.5000 0.5000 0.5000 Al
```

***

Here is a relaxed structure of Al3HIr from Alexandria. Energies are from PBE.

Values from the calculation:
The value obtained for the relative energy among the computed polymorphs is 318 meV/atom.

```
Al3HIr
1.0
4.7286 0.0000 0.0000
0.0000 4.7286 0.0000
0.0000 0.0000 4.7286
Ir Al H
1 3 1
Direct
0.0000 0.0000 0.0000 Ir
0.0000 0.0000 0.5000 Al
0.5000 0.0000 0.0000 Al
0.0000 0.5000 0.0000 Al
0.5000 0.5000 0.5000 H
```

***

Here is a relaxed structure of Al2H2Ir from Alexandria. Energies are from PBE.

```
Al2H2Ir
1.0
2.8967 0.0000 0.0000
0.0000 2.8967 0.0000
1.4483 1.4483 5.9507
H Ir Al
2 1 2
Direct
0.7500 0.2500 0.5000 H
0.2500 0.7500 0.5000 H
0.0000 0.0000 0.0000 Ir
0.3647 0.3647 0.2705 Al
0.6353 0.6353 0.7295 Al
```

***

Here is a relaxed structure of LiAl2HIr from Alexandria. Energies are from PBE.

```
LiAl2HIr
1.0
4.2873 0.0000 0.0000
0.0000 4.2873 0.0000
0.0000 0.0000 3.0558
Al H Li Ir
2 1 1 1
Direct
0.5000 0.0000 0.0000 Al
0.0000 0.5000 0.0000 Al
0.0000 0.0000 0.0000 H
0.0000 0.0000 0.5000 Li
0.5000 0.5000 0.5000 Ir
```

***

Here is a relaxed structure of Li2AlHIr from Alexandria. Energies are from PBE.

```
Li2AlHIr
1.0
3.7248 0.0000 0.0000
0.0000 3.7248 0.0000
0.0000 0.0000 4.0178
Li Al H Ir
2 1 1 1
Direct
0.0000 0.5000 0.0000 Li
0.5000 0.0000 0.0000 Li
0.5000 0.5000 0.5000 Al
0.0000 0.0000 0.0000 H
0.0000 0.0000 0.5000 Ir
```

***

Here is a relaxed structure of Mn2AlHIr from Alexandria. Energies are from PBE.

Values from the calculation:
The value obtained for the relative energy among the computed polymorphs is 0 meV/atom.

```
Mn2AlHIr
1.0
3.7774 0.0000 0.0000
0.0000 3.7774 0.0000
0.0000 0.0000 3.8988
Mn Ir H Al
2 1 1 1
Direct
0.5000 0.0000 0.0000 Mn
0.0000 0.5000 0.0000 Mn
0.0000 0.0000 0.5000 Ir
0.0000 0.0000 0.0000 H
0.5000 0.5000 0.5000 Al
```

***

Here is a relaxed structure of MnAlHIr2 from Alexandria. Energies are from PBE.

```
MnAlHIr2
1.0
4.0028 0.0000 0.0000
0.0000 4.0028 0.0000
0.0000 0.0000 3.6629
Mn Ir Al H
1 2 1 1
Direct
0.0000 0.0000 0.5000 Mn
0.5000 0.0000 0.0000 Ir
0.0000 0.5000 0.0000 Ir
0.5000 0.5000 0.5000 Al
0.0000 0.0000 0.0000 H
```

***

Here is a relaxed structure of Mn2AlHIr from Alexandria. Energies are from PBE.

Values from the calculation:
The value obtained for the relative energy among the computed polymorphs is 30 meV/atom.

```
Mn2AlHIr
1.0
-0.5124 -0.1853 3.6280
-1.4423 -3.7852 -0.3970
3.3921 -1.3356 0.4108
Mn Ir H Al
2 1 1 1
Direct
0.5000 0.0000 0.0000 Mn
0.0000 0.0000 0.5000 Mn
0.5000 0.5000 0.5000 Ir
0.0000 0.0000 0.0000 H
0.0000 0.5000 0.0000 Al
```

***

Here is a relaxed structure of AlH2IrN from Alexandria. Energies are from PBE.

```
AlH2IrN
1.0
-1.2472 2.8806 0.0398
-0.2612 -0.1852 5.2146
2.8766 1.2429 0.1882
H Ir Al N
2 1 1 1
Direct
0.0000 0.0000 0.5000 H
0.5000 0.0000 0.0000 H
0.0000 0.0000 0.0000 Ir
0.0000 0.5000 0.0000 Al
0.5000 0.5000 0.5000 N
```

***

Here is a relaxed structure of NbAl2HIr from Alexandria. Energies are from PBE.

```
NbAl2HIr
1.0
4.1223 0.0000 0.0000
0.0000 4.1223 0.0000
0.0000 0.0000 3.7510
Nb Al H Ir
1 2 1 1
Direct
0.0000 0.0000 0.5000 Nb
0.0000 0.5000 0.0000 Al
0.5000 0.0000 0.0000 Al
0.0000 0.0000 0.0000 H
0.5000 0.5000 0.5000 Ir
```

***

Here is a relaxed structure of AlNi2HIr from Alexandria. Energies are from PBE.

Values from the calculation:
The value obtained for the relative energy among the computed polymorphs is 96 meV/atom.

```
AlNi2HIr
1.0
3.5975 0.0000 0.0000
0.0000 3.5975 0.0000
0.0000 0.0000 3.9949
H Ni Al Ir
1 2 1 1
Direct
0.0000 0.0000 0.0000 H
0.5000 0.0000 0.0000 Ni
0.0000 0.5000 0.0000 Ni
0.0000 0.0000 0.5000 Al
0.5000 0.5000 0.5000 Ir
```

***

Here is a relaxed structure of AlNi2HIr from Alexandria. Energies are from PBE.

Values from the calculation:
The value obtained for the relative energy among the computed polymorphs is 0 meV/atom.

```
AlNi2HIr
1.0
-0.7442 -2.1279 2.9110
0.8584 -2.9915 -1.9672
3.6564 0.2934 1.1492
Al Ni Ir H
1 2 1 1
Direct
0.5000 0.5000 0.5000 Al
0.0000 0.5000 0.0000 Ni
0.5000 0.0000 0.0000 Ni
0.0000 0.0000 0.5000 Ir
0.0000 0.0000 0.0000 H
```

***

Here is a relaxed structure of AlHIrPd2 from Alexandria. Energies are from PBE.

```
AlHIrPd2
1.0
3.9385 0.0000 0.0000
0.0000 3.9385 0.0000
0.0000 0.0000 3.9672
Al Ir H Pd
1 1 1 2
Direct
0.5000 0.5000 0.5000 Al
0.0000 0.0000 0.5000 Ir
0.0000 0.0000 0.0000 H
0.5000 0.0000 0.0000 Pd
0.0000 0.5000 0.0000 Pd
```

***

Here is a relaxed structure of Al2HIrPd from Alexandria. Energies are from PBE.

```
Al2HIrPd
1.0
-2.4929 -3.9260 -0.5254
4.0005 -2.6836 1.0712
-1.1380 0.1152 4.5383
Al Ir H Pd
2 1 1 1
Direct
0.5000 0.0000 0.0000 Al
0.0000 0.0000 0.5000 Al
0.0000 0.5000 0.0000 Ir
0.5000 0.5000 0.5000 H
0.0000 0.0000 0.0000 Pd
```

***

Here is a relaxed structure of AlHIrPt2 from Alexandria. Energies are from PBE.

```
AlHIrPt2
1.0
-1.9780 -3.2815 -2.4304
0.3848 -2.8382 3.5191
-4.0613 1.3267 1.5140
H Al Ir Pt
1 1 1 2
Direct
0.5000 0.5000 0.5000 H
0.0000 0.0000 0.0000 Al
0.0000 0.0000 0.5000 Ir
0.0000 0.5000 0.0000 Pt
0.5000 0.0000 0.0000 Pt
```

***

Here is a relaxed structure of Al2HIrRh from Alexandria. Energies are from PBE.

```
Al2HIrRh
1.0
4.1458 0.0000 0.0000
0.0000 4.1458 0.0000
0.0000 0.0000 3.3950
Ir Al Rh H
1 2 1 1
Direct
0.5000 0.5000 0.5000 Ir
0.5000 0.0000 0.0000 Al
0.0000 0.5000 0.0000 Al
0.0000 0.0000 0.5000 Rh
0.0000 0.0000 0.0000 H
```

***

Here is a relaxed structure of AlHIr2Rh from Alexandria. Energies are from PBE.

```
AlHIr2Rh
1.0
-2.8503 -1.3069 -2.3464
0.0364 -3.4398 1.8718
-2.6761 1.3357 2.5068
H Ir Rh Al
1 2 1 1
Direct
0.0000 0.0000 0.0000 H
0.0000 0.5000 0.0000 Ir
0.5000 0.0000 0.0000 Ir
0.0000 0.0000 0.5000 Rh
0.5000 0.5000 0.5000 Al
```

***

Here is a relaxed structure of AlHIr2Ru from Alexandria. Energies are from PBE.

```
AlHIr2Ru
1.0
-2.4636 -1.7773 2.4554
2.2659 -3.1815 -0.0293
2.0199 1.4105 3.0476
H Ir Al Ru
1 2 1 1
Direct
0.0000 0.0000 0.0000 H
0.0000 0.5000 0.0000 Ir
0.5000 0.0000 0.0000 Ir
0.5000 0.5000 0.5000 Al
0.0000 0.0000 0.5000 Ru
```

***

Here is a relaxed structure of Ta2AlHIr from Alexandria. Energies are from PBE.

Values from the calculation:
The value obtained for the relative energy among the computed polymorphs is 7 meV/atom.

```
Ta2AlHIr
1.0
3.9806 0.0000 0.0000
0.0000 3.9806 0.0000
0.0000 0.0000 4.2689
Ta Ir H Al
2 1 1 1
Direct
0.5000 0.0000 0.0000 Ta
0.0000 0.5000 0.0000 Ta
0.5000 0.5000 0.5000 Ir
0.0000 0.0000 0.0000 H
0.0000 0.0000 0.5000 Al
```

***

Here is a relaxed structure of Ta2AlHIr from Alexandria. Energies are from PBE.

Values from the calculation:
The value obtained for the relative energy among the computed polymorphs is 0 meV/atom.

```
Ta2AlHIr
1.0
4.1008 0.0000 0.0000
0.0000 4.1008 0.0000
0.0000 0.0000 4.0337
Ta H Ir Al
2 1 1 1
Direct
0.5000 0.0000 0.0000 Ta
0.0000 0.5000 0.0000 Ta
0.0000 0.0000 0.0000 H
0.0000 0.0000 0.5000 Ir
0.5000 0.5000 0.5000 Al
```

***

Here is a relaxed structure of TaAl2HIr from Alexandria. Energies are from PBE.

```
TaAl2HIr
1.0
4.1486 0.0000 0.0000
0.0000 3.7159 0.0000
0.0000 0.0000 4.1486
Al Ta H Ir
2 1 1 1
Direct
0.0000 0.0000 0.5000 Al
0.5000 0.0000 0.0000 Al
0.5000 0.5000 0.5000 Ta
0.0000 0.0000 0.0000 H
0.0000 0.5000 0.0000 Ir
```

***

Here is a relaxed structure of ThAlHIr2 from Alexandria. Energies are from PBE.

```
ThAlHIr2
1.0
-2.8758 0.8230 -2.7680
1.3689 -5.8059 -0.1482
-4.9498 -1.2885 4.7594
Th Al Ir H
2 2 4 2
Direct
0.4206 0.8412 0.7500 Th
0.5794 0.1588 0.2500 Th
0.2961 0.5921 0.2500 Al
0.7039 0.4079 0.7500 Al
0.8428 0.6857 0.4547 Ir
0.1572 0.3143 0.9547 Ir
0.1572 0.3143 0.5453 Ir
0.8428 0.6857 0.0453 Ir
0.0000 0.0000 0.5000 H
0.0000 0.0000 0.0000 H
```

***

Here is a relaxed structure of AlV2HIr from Alexandria. Energies are from PBE.

Values from the calculation:
The value obtained for the relative energy among the computed polymorphs is 0 meV/atom.

```
AlV2HIr
1.0
3.6648 0.0000 0.0000
0.0000 3.6648 0.0000
0.0000 0.0000 4.2863
Al V H Ir
1 2 1 1
Direct
0.0000 0.0000 0.5000 Al
0.0000 0.5000 0.0000 V
0.5000 0.0000 0.0000 V
0.0000 0.0000 0.0000 H
0.5000 0.5000 0.5000 Ir
```

***

Here is a relaxed structure of AlV2HIr from Alexandria. Energies are from PBE.

Values from the calculation:
The value obtained for the relative energy among the computed polymorphs is 17 meV/atom.

```
AlV2HIr
1.0
-2.9766 1.8505 -1.4382
-2.2890 -2.7946 1.1416
-0.5368 1.8836 3.5346
Al Ir H V
1 1 1 2
Direct
0.5000 0.5000 0.5000 Al
0.0000 0.0000 0.5000 Ir
0.0000 0.0000 0.0000 H
0.0000 0.5000 0.0000 V
0.5000 0.0000 0.0000 V
```

***

Here is a relaxed structure of Al2VHIr from Alexandria. Energies are from PBE.

```
Al2VHIr
1.0
4.0818 0.0000 0.0000
0.0000 4.0818 0.0000
0.0000 0.0000 3.5019
Ir H Al V
1 1 2 1
Direct
0.5000 0.5000 0.5000 Ir
0.0000 0.0000 0.0000 H
0.5000 0.0000 0.0000 Al
0.0000 0.5000 0.0000 Al
0.0000 0.0000 0.5000 V
```

***

Here is a relaxed structure of KAl2H from Alexandria. Energies are from PBE.

Values from the calculation:
The value obtained for the relative energy among the computed polymorphs is 0 meV/atom.

```
KAl2H
1.0
-3.2544 4.2715 -3.0425
-5.2426 -2.5599 2.0138
-4.1553 3.4342 3.0059
Al H K
4 2 2
Direct
0.3751 0.1250 0.2500 Al
0.8750 0.6251 0.7500 Al
0.3750 0.6249 0.7500 Al
0.3749 0.6250 0.2500 Al
0.2500 0.7500 0.5000 H
0.5000 0.5000 0.0000 H
0.7500 0.2500 0.5000 K
0.0000 0.0000 0.0000 K
```

***

We obtain mass density values of 8.34 14.16 4.31 8.25 7.51 6.97 9.85 13.22 10.01 7.59 8.86 10.84 10.76 11.69 5.43 10.86 9.96 14.30 14.26 14.29 14.25 11.12 13.40 9.29 9.22 8.48 1.88 g/cm³ for the records listed above, in that order.
We obtain magnetic moment values of 0.00 0.00 0.10 0.00 0.00 0.00 1.07 0.75 0.99 0.20 0.00 0.00 0.03 0.00 0.42 0.15 0.00 0.00 0.00 0.00 0.00 0.00 0.00 0.00 0.00 0.14 0.00 μB per atom for the records listed above, in that order.
We obtain total DFT energy (no corrections) values of -21.6 -24.3 -22.9 -24.2 -23.9 -21.5 -35.6 -35.6 -35.5 -25.3 -31.3 -28.9 -29.4 -28.1 -19.1 -21.4 -30.1 -33.5 -34.9 -40.9 -40.9 -32.7 -71.4 -35.8 -35.8 -30.5 -21.1 eV/cell for the records listed above, in that order.